The following is a DFT calculation (GGA-PBEsol) of a geometry-optimized PSeO2F structure.

Unit cell a=3.9336 b=3.9336 c=4.1817 alpha=90.00 beta=90.00 gamma=90.00
With the nearest neighbours (Å) after each atom.
Element x y z (fractional)
F 0.0000 0.0000 0.5000  2 Se 2.09
Se 0.0000 0.0000 0.0000  4 O 1.97, 2 F 2.09
P 0.5000 0.5000 0.5000  4 F 2.78, 8 O 2.87
O 0.0000 0.5000 0.0000  2 Se 1.97
O 0.5000 0.0000 0.0000  2 Se 1.97

Output
Formation energy (no corrections): 0.168 eV per atom
Total magnetization: 1.75 μB per cell
Space group: P4/mmm, No. 123
Calculated volume: 64.7 Å³/f.u.